! Y2ZnMo, relaxed, DFT PBEsol; values from VASP
&SYSTEM
  ibrav = 0, nat = 4, ntyp = 3
/
ATOMIC_SPECIES
Mo 95.94 Mo.upf
Y 88.91 Y.upf
Zn 65.41 Zn.upf
ATOMIC_POSITIONS angstrom
Mo 0.0000 -0.5960 2.7718
Y 0.0000 2.0772 1.4118
Y 1.5921 1.5297 4.1702
Zn 1.5921 0.0000 0.0000
CELL_PARAMETERS angstrom
3.1842 0.0000 0.0000
-1.5921 4.7988 0.0385
0.0000 -1.1920 5.5435
! Formation enthalpy at 0 K, eV per atom: 0.41

=====

! ZrNbSe2N, relaxed, DFT PBEsol; values from VASP
&SYSTEM
  ibrav = 0, nat = 5, ntyp = 4
/
ATOMIC_SPECIES
N 14.01 N.upf
Nb 92.91 Nb.upf
Se 78.96 Se.upf
Zr 91.22 Zr.upf
ATOMIC_POSITIONS angstrom
N -0.6458 0.6916 1.6673
Nb 0.0000 0.0000 0.0000
Se 1.4876 2.0287 -0.2653
Se 1.8601 -1.2043 1.2201
Zr 2.7018 1.5160 2.6220
CELL_PARAMETERS angstrom
-1.2916 1.3833 3.3346
3.7201 -2.4087 2.4401
2.9751 4.0574 -0.5307
! Raw formation energy, meV/atom: -213

=====

! BeInS2N, relaxed, DFT PBEsol; values from VASP
&SYSTEM
  ibrav = 0, nat = 5, ntyp = 4
/
ATOMIC_SPECIES
In 114.82 In.upf
Be 9.01 Be.upf
N 14.01 N.upf
S 32.06 S.upf
ATOMIC_POSITIONS angstrom
In -1.5971 1.3228 3.0450
Be 0.0000 0.0000 0.0000
N -1.4756 0.6600 -0.1906
S -0.7556 -1.1424 1.8936
S 0.6341 1.8051 1.3421
CELL_PARAMETERS angstrom
-2.9512 1.3200 -0.3812
-1.5112 -2.2848 3.7872
1.2681 3.6103 2.6841
! Polymorph energy (0 for the lowest one), eV/f.u.: 0.000
! Raw formation energy, meV/atom: 300

=====

We obtain VASP energy values of -25.4 -37.2 -22.8 eV for the cell shown for the records listed above, in that order.